# LiFeCO4

A relaxed structure of LiFeCO4 (PBE with a Hubbard U, the Alexandria database).

Lattice parameters (Å, degrees): 8.307 8.307 6.190 90.00 90.00 120.65
Sites, in units of the cell vectors:
O 0.203 0.458 0.798
O 0.558 0.823 0.666
O 0.823 0.558 0.166
O 0.094 0.186 0.969
O 0.814 0.906 0.469
O 0.458 0.203 0.298
O 0.826 0.266 0.490
O 0.442 0.177 0.666
O 0.797 0.542 0.798
O 0.906 0.814 0.969
O 0.186 0.094 0.469
O 0.542 0.797 0.298
O 0.266 0.826 0.990
O 0.177 0.442 0.166
O 0.174 0.734 0.490
O 0.734 0.174 0.990
Li 0.986 0.813 0.496
Li 0.813 0.986 0.996
Li 0.187 0.014 0.996
Li 0.014 0.187 0.496
C 0.639 0.841 0.478
C 0.361 0.159 0.478
C 0.159 0.361 0.978
C 0.841 0.639 0.978
Fe 0.705 0.279 0.737
Fe 0.279 0.705 0.237
Fe 0.295 0.721 0.737
Fe 0.721 0.295 0.237

Computed properties:
Space-group type: No. 37
DFT total energy: -6.7601 eV per atom
Energy above the lowest structure with this stoichiometry: 60.4 meV/atom
Total magnetic moment: 4.999 μB/f.u.